# 1
The following is a DFT calculation (PBE-GGA) of an optimized crystal structure of RbGa3P3.

Unit cell a=7.1312 b=7.1312 c=9.2356 alpha=67.29 beta=67.29 gamma=60.00
With the nearest neighbours (Å) after each atom.
Element x y z (fractional)
1 Rb 0.3335 0.3335 0.9996  6 P 3.50
2 Rb 0.6665 0.6665 0.0004  6 P 3.50
3 Ga 0.4582 0.7952 0.6174  4 P 2.44-2.53
4 Ga 0.7952 0.1292 0.6174  4 P 2.44-2.53
5 Ga 0.1292 0.4582 0.6174  4 P 2.44-2.53
6 Ga 0.8708 0.5418 0.3826  4 P 2.44-2.53
7 Ga 0.2048 0.8708 0.3826  4 P 2.44-2.53
8 Ga 0.5418 0.2048 0.3826  4 P 2.44-2.53
9 P 0.2296 0.5618 0.3115  4 Ga 2.44-2.53
10 P 0.8971 0.2296 0.3115  4 Ga 2.44-2.53
11 P 0.5618 0.8971 0.3115  4 Ga 2.44-2.53
12 P 0.4382 0.1029 0.6885  4 Ga 2.44-2.53
13 P 0.1029 0.7704 0.6885  4 Ga 2.44-2.53
14 P 0.7704 0.4382 0.6885  4 Ga 2.44-2.53

Calculated values
- D(E_F) (states/eV per atom) = 0.305
- theoretical density (g/cm³) = 3.54
- space group = R-3
- formation enthalpy at 0 K (eV per atom) = -0.29

# 2
The following is a DFT calculation (PBE-GGA) of an optimized crystal structure of CsZrTc2.

Unit cell a=4.8566 b=4.8566 c=4.8566 alpha=60.00 beta=60.00 gamma=60.00
With the nearest neighbours (Å) after each atom.
Element x y z (fractional)
1 Cs 0.5000 0.5000 0.5000  8 Tc 2.97
2 Tc 0.2500 0.2500 0.2500  4 Zr 2.97, 4 Cs 2.97
3 Tc 0.7500 0.7500 0.7500  4 Cs 2.97, 4 Zr 2.97
4 Zr 0.0000 0.0000 0.0000  8 Tc 2.97

Calculated values
- D(E_F) (states/eV per atom) = 1.528
- theoretical density (g/cm³) = 8.61
- space group = Fm-3m
- formation enthalpy at 0 K (eV per atom) = 1.45

# 3
The following is a DFT calculation (PBE-GGA) of an optimized crystal structure of LiPm2Bi2O.

Unit cell a=8.0955 b=6.1483 c=8.0827 alpha=112.35 beta=120.05 gamma=90.00
With the nearest neighbours (Å) after each atom.
Element x y z (fractional)
1 Li 0.0000 0.7500 0.0000  4 Bi 2.72
2 Li 0.0000 0.2500 0.0000  4 Bi 2.72
3 Pm 0.7593 0.0909 0.1818  2 O 2.35
4 Pm 0.4225 0.5909 0.1818  2 O 2.35
5 Pm 0.5775 0.4091 0.8182  2 O 2.35
6 Pm 0.2407 0.9091 0.8182  2 O 2.35
7 Bi 0.2979 0.1522 0.3045  2 Li 2.72
8 Bi 0.7021 0.8478 0.6955  2 Li 2.72
9 Bi 0.9934 0.3478 0.6955  2 Li 2.72
10 Bi 0.0066 0.6522 0.3045  2 Li 2.72
11 O 0.5000 0.7500 0.0000  4 Pm 2.35
12 O 0.5000 0.2500 0.0000  4 Pm 2.35

Calculated values
- D(E_F) (states/eV per atom) = 0.561
- theoretical density (g/cm³) = 7.76
- formation energy without anion corrections (eV/atom) = -1.312
- space group = Ibam

# 4
The following is a DFT calculation (PBE-GGA) of an optimized crystal structure of MgInN3.

Unit cell a=4.0070 b=4.0070 c=4.0070 alpha=90.00 beta=90.00 gamma=90.00
With the nearest neighbours (Å) after each atom.
Element x y z (fractional)
1 Mg 0.0000 0.0000 0.0000  6 N 2.00
2 N 0.0000 0.5000 0.0000  2 Mg 2.00
3 N 0.0000 0.0000 0.5000  2 Mg 2.00
4 N 0.5000 0.0000 0.0000  2 Mg 2.00
5 In 0.5000 0.5000 0.5000  12 N 2.83

Calculated values
- D(E_F) (states/eV per atom) = 0.431
- theoretical density (g/cm³) = 4.68
- formation energy without anion corrections (eV/atom) = 1.526
- space group = Pm-3m

# 5
The following is a DFT calculation (PBE-GGA) of an optimized crystal structure of Tl5InCl6.

Unit cell a=7.9517 b=7.9591 c=7.9514 alpha=59.97 beta=80.42 gamma=70.59
With the nearest neighbours (Å) after each atom.
Element x y z (fractional)
1 Tl 0.5000 0.1670 0.6660  6 Cl 3.25-3.26
2 Tl 0.0000 0.3332 0.3336  6 Cl 3.25
3 Tl 0.5000 0.5000 0.0000  6 Cl 3.24-3.26
4 Tl 0.0000 0.6668 0.6664  6 Cl 3.25
5 Tl 0.5000 0.8330 0.3340  6 Cl 3.25-3.26
6 In 0.0000 0.0000 0.0000  6 Cl 3.23
7 Cl 0.7507 0.0833 0.3317  1 In 3.23, 5 Tl 3.24-3.26
8 Cl 0.2493 0.5850 0.3317  1 In 3.23, 5 Tl 3.24-3.26
9 Cl 0.2490 0.2486 0.0000  1 In 3.23, 5 Tl 3.25-3.26
10 Cl 0.7510 0.7514 0.0000  1 In 3.23, 5 Tl 3.25-3.26
11 Cl 0.7507 0.4150 0.6683  1 In 3.23, 5 Tl 3.24-3.26
12 Cl 0.2493 0.9167 0.6683  1 In 3.23, 5 Tl 3.24-3.26

Calculated values
- D(E_F) (states/eV per atom) = 0.000
- theoretical density (g/cm³) = 5.45
- formation energy without anion corrections (eV/atom) = -0.978
- space group = C2/m

# 6
The following is a DFT calculation (PBE-GGA) of an optimized crystal structure of PrErAg2.

Unit cell a=5.2370 b=5.2370 c=5.2370 alpha=60.00 beta=60.00 gamma=60.00
With the nearest neighbours (Å) after each atom.
Element x y z (fractional)
1 Pr 0.5000 0.5000 0.5000  8 Ag 3.21
2 Ag 0.2500 0.2500 0.2500  4 Pr 3.21, 4 Er 3.21
3 Ag 0.7500 0.7500 0.7500  4 Pr 3.21, 4 Er 3.21
4 Er 0.0000 0.0000 0.0000  8 Ag 3.21

Calculated values
- D(E_F) (states/eV per atom) = 1.041
- polymorph energy (0 for the lowest one) (eV/atom) = 0.0270
- theoretical density (g/cm³) = 8.57
- space group = Fm-3m
- formation enthalpy at 0 K (eV per atom) = -0.27

# 7
The following is a DFT calculation (PBE-GGA) of an optimized crystal structure of Zn8W.

Unit cell a=6.1775 b=6.1775 c=6.1775 alpha=95.53 beta=95.53 gamma=143.82
With the nearest neighbours (Å) after each atom.
Element x y z (fractional)
1 Zn 0.0000 0.3350 0.3350  11 Zn 2.73-2.75, 1 W 2.78
2 Zn 0.0000 0.6650 0.6650  11 Zn 2.73-2.75, 1 W 2.78
3 Zn 0.6650 0.0000 0.6650  11 Zn 2.73-2.75, 1 W 2.78
4 Zn 0.6692 0.3308 0.0000  10 Zn 2.70-2.81, 2 W 2.76
5 Zn 0.6692 0.6692 0.3384  10 Zn 2.70-2.81, 2 W 2.76
6 Zn 0.3350 0.0000 0.3350  11 Zn 2.73-2.75, 1 W 2.78
7 Zn 0.3308 0.3308 0.6616  10 Zn 2.70-2.81, 2 W 2.76
8 Zn 0.3308 0.6692 0.0000  10 Zn 2.70-2.81, 2 W 2.76
9 W 0.0000 0.0000 0.0000  12 Zn 2.76-2.78

Calculated values
- D(E_F) (states/eV per atom) = 0.386
- theoretical density (g/cm³) = 8.88
- space group = I4/mmm
- formation enthalpy at 0 K (eV per atom) = 0.16

# 8
The following is a DFT calculation (PBE-GGA) of an optimized crystal structure of Ho8Hg2Rh3.

Unit cell a=4.9130 b=9.8660 c=8.5959 alpha=124.91 beta=90.00 gamma=90.00
With the nearest neighbours (Å) after each atom.
Element x y z (fractional)
1 Ho 0.0000 0.6162 0.2319  2 Rh 2.95-2.96, 2 Hg 3.05, 1 Ho 3.27
2 Ho 0.0000 0.3838 0.7681  2 Rh 2.95-2.96, 2 Hg 3.05, 1 Ho 3.27
3 Ho 0.0000 0.1175 0.2342  4 Rh 2.96-2.97, 2 Hg 3.14, 1 Ho 3.30
4 Ho 0.0000 0.8825 0.7658  4 Rh 2.96-2.97, 2 Hg 3.14, 1 Ho 3.30
5 Ho 0.5000 0.6363 0.7677  3 Rh 2.94-2.95, 2 Hg 3.08-3.13, 1 Ho 3.28
6 Ho 0.5000 0.1300 0.7664  3 Rh 2.94-2.96, 2 Hg 3.08-3.13, 1 Ho 3.28
7 Ho 0.5000 0.8700 0.2336  3 Rh 2.94-2.96, 2 Hg 3.08-3.13, 1 Ho 3.28
8 Ho 0.5000 0.3637 0.2323  3 Rh 2.94-2.95, 2 Hg 3.08-3.13, 1 Ho 3.28
9 Hg 0.5000 0.2555 0.5107  8 Ho 3.05-3.14
10 Hg 0.5000 0.7445 0.4893  8 Ho 3.05-3.14
11 Rh 0.5000 0.0000 0.0000  8 Ho 2.94-2.96
12 Rh 0.0000 0.2501 0.9997  8 Ho 2.95-2.97
13 Rh 0.0000 0.7499 0.0003  8 Ho 2.95-2.97

Calculated values
- D(E_F) (states/eV per atom) = 0.972
- theoretical density (g/cm³) = 9.86
- space group = P2/m
- formation enthalpy at 0 K (eV per atom) = -0.50